Record 1
NiAu7 after structural relaxation. Source: the Alexandria database, functional PBEsol.

Calculated values
energy of formation: 0.05 eV per atom
spin magnetization: 0.0 μB/f.u.
V: 519.3 Å³/cell

abc: 8.038 8.038 8.038
angles: 90.00 90.00 90.00
Space group Fm-3m (No. 225)
One atom of each set of equivalent atoms:
Ni 0.000 0.000 0.000 (multiplicity 4)
Au 0.000 0.000 0.500 (multiplicity 4)
Au 0.000 0.250 0.250 (multiplicity 24)

Record 2
Ni4Au after structural relaxation. Source: the Alexandria database, functional PBEsol.

Calculated values
energy of formation: 0.08 eV per atom
spin magnetization: 2.2 μB/f.u.
V: 117.1 Å³/cell

abc: 5.715 5.715 3.585
angles: 90.00 90.00 90.00
Space group I4/m (No. 87)
One atom of each set of equivalent atoms:
Ni 0.094 0.691 0.000 (multiplicity 8)
Au 0.000 0.000 0.500 (multiplicity 2)

Record 3
Ni3Au after structural relaxation. Source: the Alexandria database, functional PBEsol.

Calculated values
energy of formation: 0.08 eV per atom
spin magnetization: 1.6 μB/f.u.
V: 96.2 Å³/cell

abc: 3.641 3.641 7.254
angles: 90.00 90.00 90.00
Space group I4/mmm (No. 139)
One atom of each set of equivalent atoms:
Ni 0.000 0.000 0.000 (multiplicity 2)
Ni 0.000 0.500 0.250 (multiplicity 4)
Au 0.000 0.000 0.500 (multiplicity 2)

Record 4
NiOs2Au after structural relaxation. Source: the Alexandria database, functional PBEsol.

Calculated values
ΔE to the lowest computed polymorph: 362 meV/atom
energy of formation: 0.62 eV per atom
spin magnetization: 0.0 μB/f.u.
V: 56.7 Å³/cell

abc: 2.741 4.468 4.628
angles: 90.00 90.00 90.00
Space group Pmmm (No. 47)
One atom of each set of equivalent atoms:
Ni 0.000 0.000 0.000 (multiplicity 1)
Os 0.000 0.500 0.500 (multiplicity 1)
Os 0.500 0.000 0.500 (multiplicity 1)
Au 0.500 0.500 0.000 (multiplicity 1)

Record 5
NiOs2Au after structural relaxation. Source: the Alexandria database, functional PBEsol.

Calculated values
ΔE to the lowest computed polymorph: 0 meV/atom
energy of formation: 0.26 eV per atom
spin magnetization: 0.0 μB/f.u.
V: 55.6 Å³/cell

abc: 2.744 3.732 5.431
angles: 90.00 90.00 90.00
Space group Pmm2 (No. 25)
One atom of each set of equivalent atoms:
Ni 0.000 0.000 0.000 (multiplicity 1)
Os 0.000 0.000 0.466 (multiplicity 1)
Os 0.500 0.500 0.252 (multiplicity 1)
Au 0.500 0.500 0.759 (multiplicity 1)

Record 6
NiOsAu2 after structural relaxation. Source: the Alexandria database, functional PBEsol.

Calculated values
ΔE to the lowest computed polymorph: 0 meV/atom
energy of formation: 0.25 eV per atom
spin magnetization: 0.0 μB/f.u.
V: 58.2 Å³/cell

abc: 2.725 2.725 7.840
angles: 90.00 90.00 90.00
Space group P4mm (No. 99)
One atom of each set of equivalent atoms:
Ni 0.000 0.000 0.000 (multiplicity 1)
Os 0.500 0.500 0.203 (multiplicity 1)
Au 0.000 0.000 0.471 (multiplicity 1)
Au 0.500 0.500 0.758 (multiplicity 1)

Record 7
NiOsAu2 after structural relaxation. Source: the Alexandria database, functional PBEsol.

Calculated values
ΔE to the lowest computed polymorph: 211 meV/atom
energy of formation: 0.46 eV per atom
spin magnetization: 0.5 μB/f.u.
V: 58.0 Å³/cell

abc: 2.731 2.731 7.777
angles: 90.00 90.00 90.00
Space group P4/mmm (No. 123)
One atom of each set of equivalent atoms:
Ni 0.000 0.000 0.000 (multiplicity 1)
Os 0.000 0.000 0.500 (multiplicity 1)
Au 0.500 0.500 0.236 (multiplicity 2)

Record 8
Ni2SnOsAu after structural relaxation. Source: the Alexandria database, functional PBEsol.

Calculated values
energy of formation: 1.90 eV per atom
spin magnetization: 2.8 μB/f.u.
V: 98.2 Å³/cell

abc: 4.481 4.481 4.891
angles: 90.00 90.00 90.00
Space group P4/mmm (No. 123)
One atom of each set of equivalent atoms:
Ni 0.000 0.500 0.000 (multiplicity 2)
Sn 0.000 0.000 0.000 (multiplicity 1)
Os 0.500 0.500 0.500 (multiplicity 1)
Au 0.000 0.000 0.500 (multiplicity 1)

Record 9
TcNi2OsAu after structural relaxation. Source: the Alexandria database, functional PBEsol.

Calculated values
energy of formation: 1.68 eV per atom
spin magnetization: 0.1 μB/f.u.
V: 86.7 Å³/cell

abc: 4.356 4.356 4.570
angles: 90.00 90.00 90.00
Space group P4/mmm (No. 123)
One atom of each set of equivalent atoms:
Tc 0.000 0.000 0.000 (multiplicity 1)
Ni 0.000 0.500 0.000 (multiplicity 2)
Os 0.000 0.000 0.500 (multiplicity 1)
Au 0.500 0.500 0.500 (multiplicity 1)

Record 10
NiPAu3 after structural relaxation. Source: the Alexandria database, functional PBEsol.

Calculated values
energy of formation: 1.09 eV per atom
spin magnetization: 0.5 μB/f.u.
V: 98.0 Å³/cell

abc: 4.611 4.611 4.611
angles: 90.00 90.00 90.00
Space group Pm-3m (No. 221)
One atom of each set of equivalent atoms:
Ni 0.000 0.000 0.000 (multiplicity 1)
P 0.500 0.500 0.500 (multiplicity 1)
Au 0.000 0.000 0.500 (multiplicity 3)

Record 11
NiP2Au after structural relaxation. Source: the Alexandria database, functional PBEsol.

Calculated values
energy of formation: 0.13 eV per atom
spin magnetization: 0.0 μB/f.u.
V: 58.9 Å³/cell

abc: 2.640 2.640 8.457
angles: 90.00 90.00 90.00
Space group P4/mmm (No. 123)
One atom of each set of equivalent atoms:
Ni 0.000 0.000 0.000 (multiplicity 1)
P 0.500 0.500 0.185 (multiplicity 2)
Au 0.000 0.000 0.500 (multiplicity 1)

Record 12
NiPAu2 after structural relaxation. Source: the Alexandria database, functional PBEsol.

Calculated values
energy of formation: 0.27 eV per atom
spin magnetization: 0.0 μB/f.u.
V: 237.5 Å³/cell

abc: 6.193 6.193 6.193
angles: 90.00 90.00 90.00
Space group F-43m (No. 216)
One atom of each set of equivalent atoms:
Ni 0.000 0.000 0.000 (multiplicity 4)
P 0.250 0.250 0.750 (multiplicity 4)
Au 0.000 0.000 0.500 (multiplicity 4)
Au 0.250 0.250 0.250 (multiplicity 4)

Record 13
NiPRhAu2 after structural relaxation. Source: the Alexandria database, functional PBEsol.

Calculated values
energy of formation: 1.17 eV per atom
spin magnetization: 1.1 μB/f.u.
V: 92.4 Å³/cell

abc: 4.620 4.620 4.331
angles: 90.00 90.00 90.00
Space group P4/mmm (No. 123)
One atom of each set of equivalent atoms:
Ni 0.000 0.000 0.000 (multiplicity 1)
P 0.500 0.500 0.500 (multiplicity 1)
Rh 0.000 0.000 0.500 (multiplicity 1)
Au 0.000 0.500 0.000 (multiplicity 2)

Record 14
NiP2AuS after structural relaxation. Source: the Alexandria database, functional PBEsol.

Calculated values
raw formation energy: 1.15 eV per atom
spin magnetization: 0.2 μB/f.u.
V: 88.6 Å³/cell

abc: 4.384 4.384 4.609
angles: 90.00 90.00 90.00
Space group P4/mmm (No. 123)
One atom of each set of equivalent atoms:
Ni 0.000 0.000 0.000 (multiplicity 1)
P 0.000 0.500 0.500 (multiplicity 2)
Au 0.500 0.500 0.000 (multiplicity 1)
S 0.500 0.500 0.500 (multiplicity 1)

Record 15
NiPbAu after structural relaxation. Source: the Alexandria database, functional PBEsol.

Calculated values
energy of formation: 0.10 eV per atom
spin magnetization: 0.0 μB/f.u.
V: 226.9 Å³/cell

abc: 6.099 6.099 6.099
angles: 90.00 90.00 90.00
Space group F-43m (No. 216)
One atom of each set of equivalent atoms:
Ni 0.000 0.000 0.000 (multiplicity 4)
Pb 0.250 0.250 0.750 (multiplicity 4)
Au 0.250 0.250 0.250 (multiplicity 4)

Record 16
Ni2PtAu after structural relaxation. Source: the Alexandria database, functional PBEsol.

Calculated values
ΔE to the lowest computed polymorph: 46 meV/atom
energy of formation: 0.05 eV per atom
spin magnetization: 1.5 μB/f.u.
V: 53.0 Å³/cell

abc: 2.728 2.728 7.117
angles: 90.00 90.00 90.00
Space group P4mm (No. 99)
One atom of each set of equivalent atoms:
Ni 0.000 0.000 0.000 (multiplicity 1)
Ni 0.500 0.500 0.201 (multiplicity 1)
Pt 0.000 0.000 0.441 (multiplicity 1)
Au 0.500 0.500 0.741 (multiplicity 1)

Record 17
NiPt2Au after structural relaxation. Source: the Alexandria database, functional PBEsol.

Calculated values
ΔE to the lowest computed polymorph: 89 meV/atom
energy of formation: 0.08 eV per atom
spin magnetization: 0.9 μB/f.u.
V: 58.6 Å³/cell

abc: 2.720 4.626 4.661
angles: 90.00 90.73 90.00
Space group P2/m (No. 10)
One atom of each set of equivalent atoms:
Ni 0.000 0.000 0.000 (multiplicity 1)
Pt 0.239 0.500 0.757 (multiplicity 2)
Au 0.500 0.000 0.500 (multiplicity 1)

Record 18
NiPt2Au after structural relaxation. Source: the Alexandria database, functional PBEsol.

Calculated values
ΔE to the lowest computed polymorph: 0 meV/atom
energy of formation: 0.00 eV per atom
spin magnetization: 1.4 μB/f.u.
V: 57.6 Å³/cell

abc: 2.752 2.752 7.604
angles: 90.00 90.00 90.00
Space group P4/mmm (No. 123)
One atom of each set of equivalent atoms:
Ni 0.000 0.000 0.000 (multiplicity 1)
Pt 0.500 0.500 0.222 (multiplicity 2)
Au 0.000 0.000 0.500 (multiplicity 1)

Record 19
NiPt2Au after structural relaxation. Source: the Alexandria database, functional PBEsol.

Calculated values
ΔE to the lowest computed polymorph: 27 meV/atom
energy of formation: 0.02 eV per atom
spin magnetization: 1.1 μB/f.u.
V: 115.7 Å³/cell

abc: 9.157 2.751 4.703
angles: 90.00 102.47 90.00
Space group C2/m (No. 12)
One atom of each set of equivalent atoms:
Ni 0.000 0.000 0.000 (multiplicity 2)
Pt 0.240 0.500 0.239 (multiplicity 4)
Au 0.000 0.500 0.500 (multiplicity 2)

Record 20
Ni2PtAu after structural relaxation. Source: the Alexandria database, functional PBEsol.

Calculated values
ΔE to the lowest computed polymorph: 31 meV/atom
energy of formation: 0.03 eV per atom
spin magnetization: 1.5 μB/f.u.
V: 105.9 Å³/cell

abc: 3.863 3.863 7.096
angles: 90.00 90.00 90.00
Space group I4/mmm (No. 139)
One atom of each set of equivalent atoms:
Ni 0.000 0.500 0.250 (multiplicity 4)
Pt 0.000 0.000 0.000 (multiplicity 2)
Au 0.000 0.000 0.500 (multiplicity 2)